# 1
Mg2Ga2Pd (GGA-PBE, relaxed); total magnetic moment = 0.00 μB/f.u.; ρ = 5067 kg/m³; distance to the lowest polymorph of the same formula = 1.53 eV/f.u.; symmetry = P4/mbm; formation energy = -0.5 eV per formula unit
1.0
6.899 0.000 0.000
0.000 6.899 0.000
0.000 0.000 4.055
Mg Pd Ga
4 2 4
Direct
0.153 0.347 0.000
0.347 0.847 0.000
0.847 0.653 0.000
0.653 0.153 0.000
0.000 0.000 0.000
0.500 0.500 0.000
0.345 0.155 0.500
0.845 0.345 0.500
0.655 0.845 0.500
0.155 0.655 0.500



# 2
MgGa3Pd12 (GGA-PBE, relaxed); total magnetic moment = 0.00 μB/f.u.; ρ = 10303 kg/m³; symmetry = P4/mmm; formation energy = -7.2 eV per formula unit
1.0
3.946 0.000 0.000
0.000 3.946 0.000
0.000 0.000 15.634
Pd Mg Ga
12 1 3
Direct
0.500 0.000 0.376
0.500 0.500 0.748
0.000 0.500 0.624
0.500 0.000 0.624
0.500 0.500 0.000
0.000 0.500 0.871
0.500 0.000 0.129
0.500 0.000 0.871
0.000 0.500 0.376
0.000 0.500 0.129
0.500 0.500 0.500
0.500 0.500 0.252
0.000 0.000 0.000
0.000 0.000 0.500
0.000 0.000 0.749
0.000 0.000 0.251



# 3
MgGa2Pd4 (GGA-PBE, relaxed); total magnetic moment = 0.00 μB/f.u.; ρ = 8662 kg/m³; distance to the lowest polymorph of the same formula = 0.36 eV/f.u.; symmetry = I4/mmm; formation energy = -3.9 eV per formula unit
1.0
4.996 0.097 -1.699
-2.462 4.274 -1.879
0.056 -0.097 5.277
Ga Pd Mg
2 4 1
Direct
0.500 0.000 0.500
0.500 0.500 0.000
0.000 0.000 0.500
0.500 0.500 0.500
0.500 0.000 0.000
0.000 0.500 0.000
0.000 0.000 0.000



# 4
Mg3Ga7Pd (GGA-PBE, relaxed); total magnetic moment = 0.00 μB/f.u.; ρ = 5260 kg/m³; symmetry = Cmcm; formation energy = -1.8 eV per formula unit
1.0
-1.334 2.435 1.318
-8.552 -7.878 2.316
5.172 -2.642 10.113
Ga Mg Pd
14 6 2
Direct
0.508 0.016 0.612
0.492 0.984 0.112
0.352 0.704 0.750
0.294 0.589 0.958
0.362 0.724 0.136
0.508 0.016 0.888
0.706 0.411 0.042
0.706 0.411 0.458
0.638 0.276 0.864
0.648 0.296 0.250
0.294 0.589 0.542
0.638 0.276 0.636
0.362 0.724 0.364
0.492 0.984 0.388
0.093 0.186 0.433
0.227 0.455 0.750
0.907 0.814 0.933
0.773 0.545 0.250
0.907 0.814 0.567
0.093 0.186 0.067
0.936 0.872 0.250
0.064 0.128 0.750